Record 1
Computed, not measured: an optimized crystal structure of Zn4AsIr at the PBE level of DFT.

## Properties
E_form (kJ/mol of atoms): 8
Volume (Å³ per cell): 89.5

Cell lengths 5.0207, 5.0207, 5.0207 Å; angles 60.00, 60.00, 60.00 degrees
Atoms (fractional coordinates):
Zn: 0.1242 0.1242 0.1242
Zn: 0.1242 0.1242 0.6273
Zn: 0.1242 0.6273 0.1242
Zn: 0.6273 0.1242 0.1242
As: 0.5000 0.5000 0.5000
Ir: 0.7500 0.7500 0.7500

***

Record 2
Computed, not measured: an optimized crystal structure of V6ReSn at the PBE level of DFT.

## Properties
E_form (kJ/mol of atoms): 5
Volume (Å³ per cell): 117.7

Cell lengths 5.5929, 5.5929, 4.6496 Å; angles 96.06, 96.06, 123.88 degrees
Atoms (fractional coordinates):
V: 0.0000 0.0000 0.0000
V: 0.1340 0.3503 0.4930
V: 0.5293 0.0066 0.0168
V: 0.6407 0.3593 0.5000
V: 0.6497 0.8660 0.5070
V: 0.9934 0.4707 0.9832
Re: 0.5032 0.4968 0.0000
Sn: 0.1457 0.8543 0.5000

***

Record 3
Computed, not measured: an optimized crystal structure of LaPaS4 at the PBE level of DFT.

## Properties
ΔE to the lowest computed polymorph (meV per atom): 55
Formation energy from raw total energies (meV per atom): -1744
Volume (Å³ per cell): 175.4

Cell lengths 6.4260, 6.4260, 4.2488 Å; angles 90.00, 90.00, 91.32 degrees
Atoms (fractional coordinates):
La: 0.0000 0.0000 0.0000
Pa: 0.5000 0.5000 0.5000
S: 0.2094 0.2094 0.5000
S: 0.3206 0.6794 0.0000
S: 0.6794 0.3206 0.0000
S: 0.7906 0.7906 0.5000

***

Record 4
Computed, not measured: an optimized crystal structure of Rb2SbHRh at the PBE level of DFT.

## Properties
Raw total energy (eV per atom): -3.0293
Volume (Å³ per cell): 154.6

Cell lengths 6.7688, 6.7688, 3.3750 Å; angles 90.00, 90.00, 90.00 degrees
Atoms (fractional coordinates):
Rb: 0.0000 0.5000 0.0000
Rb: 0.5000 0.0000 0.0000
Sb: 0.0000 0.0000 0.5000
H: 0.5000 0.5000 0.5000
Rh: 0.5000 0.5000 0.0000

***

Record 5
Computed, not measured: an optimized crystal structure of Tb2Sm3Sc at the PBE level of DFT.

## Properties
E_form (kJ/mol of atoms): 3
ΔE to the lowest computed polymorph (meV per atom): 0
Volume (Å³ per cell): 377.5

Cell lengths 6.1374, 7.9216, 8.6835 Å; angles 68.52, 89.99, 75.06 degrees
Atoms (fractional coordinates):
Tb: 0.0475 0.1184 0.2957
Tb: 0.2940 0.8782 0.0401
Tb: 0.7060 0.1218 0.9599
Tb: 0.9525 0.8816 0.7043
Sm: 0.1263 0.3735 0.8734
Sm: 0.2078 0.6255 0.4577
Sm: 0.4597 0.3655 0.2140
Sm: 0.5403 0.6345 0.7860
Sm: 0.7922 0.3745 0.5423
Sm: 0.8737 0.6265 0.1266
Sc: 0.3767 0.1222 0.6234
Sc: 0.6233 0.8778 0.3766

***

Record 6
Computed, not measured: an optimized crystal structure of NbAsI2 at the PBE level of DFT.

## Properties
ΔE to the lowest computed polymorph (meV per atom): 584
Formation energy from raw total energies (meV per atom): 644
Volume (Å³ per cell): 91.5

Cell lengths 5.0573, 5.0573, 5.0573 Å; angles 60.00, 60.00, 60.00 degrees
Atoms (fractional coordinates):
Nb: 0.0000 0.0000 0.0000
As: 0.5000 0.5000 0.5000
I: 0.2500 0.2500 0.2500
I: 0.7500 0.7500 0.7500